No. 1
Computed, not measured: ZrGa3 after structural relaxation at the PBE level of DFT.

Structure (CIF):
```
data_ZrGa3
_space_group_name_H-M_alt 'P 1'
_space_group_IT_number 1
_cell_length_a 5.268
_cell_length_b 5.268
_cell_length_c 5.268
_cell_angle_alpha 90.00
_cell_angle_beta 90.00
_cell_angle_gamma 90.00
loop_
_space_group_symop_operation_xyz
'x,y,z'
loop_
_atom_site_label
_atom_site_type_symbol
_atom_site_fract_x
_atom_site_fract_y
_atom_site_fract_z
Ga1 Ga 0.500 0.250 0.000
Ga2 Ga 0.750 0.000 0.500
Ga3 Ga 0.500 0.750 0.000
Ga4 Ga 0.250 0.000 0.500
Ga5 Ga 0.000 0.500 0.750
Ga6 Ga 0.000 0.500 0.250
Zr1 Zr 0.500 0.500 0.500
Zr2 Zr 0.000 0.000 0.000
```

- calculated density (g/cm3) = 6.8
- DFT total energy (Ry per atom) = -0.3390
- SG = No. 223

No. 2
Computed, not measured: DyZrW after structural relaxation at the PBE level of DFT.

Structure (CIF):
```
data_DyZrW
_space_group_name_H-M_alt 'P 1'
_space_group_IT_number 1
_cell_length_a 4.705
_cell_length_b 4.705
_cell_length_c 4.705
_cell_angle_alpha 60.00
_cell_angle_beta 60.00
_cell_angle_gamma 60.00
loop_
_space_group_symop_operation_xyz
'x,y,z'
loop_
_atom_site_label
_atom_site_type_symbol
_atom_site_fract_x
_atom_site_fract_y
_atom_site_fract_z
Dy1 Dy 0.250 0.250 0.250
W1 W 0.750 0.750 0.750
Zr1 Zr 0.000 0.000 0.000
```

- offset from the most stable computed form (eV per formula unit) = 0.000
- ΔE_f (eV/atom) = 1.133
- calculated density (g/cm3) = 9.9
- DFT total energy (Ry per atom) = -0.5564
- SG = No. 216

Among the records above, which one has the lowest calculated density? ZrGa3

What is the calculated density in the second record? 9.9 g/cm3

Which of these has the lowest DFT total energy? DyZrW

Number 2 is which compound? DyZrW